An optimized crystal structure of Cu2IrSe, computed with PBE.

Structure (POSCAR):
```
Cu2IrSe
1.0
-6.420 -0.193 5.301
-6.302 -2.968 4.563
-4.606 -1.964 6.654
Se Ir Cu
1 1 2
Cartesian
-12.996 -3.844 12.389 Se
-4.332 -1.281 4.130 Ir
-8.659 -2.561 8.255 Cu
-0.005 -0.002 0.005 Cu
```

Calculated values
The space group is R-3m, No. 166. The total moment comes out at 0.56 μB per formula unit. Its total energy is -4.8246 eV per atom.

---

An optimized crystal structure of Ca2CuH6Rh, computed with PBE.

Structure (POSCAR):
```
Ca2CuH6Rh
1.0
-3.754 -3.099 -1.792
3.569 -3.118 -2.109
0.036 -5.038 1.113
H Ca Rh Cu
6 2 1 1
Cartesian
-0.120 -7.198 -2.345 H
-1.880 -3.104 -1.873 H
-0.102 -9.662 -1.791 H
-0.029 -4.056 -0.443 H
1.695 -3.113 -2.028 H
-0.047 -1.593 -0.997 H
1.756 -5.632 -1.473 Ca
-1.905 -5.623 -1.315 Ca
-0.092 -3.108 -1.951 Rh
0.000 0.000 0.000 Cu
```

Calculated values
The space group is I4/mmm, No. 139. The total moment comes out at 0.00 μB per formula unit. Its total energy is -4.0366 eV per atom.

---

An optimized crystal structure of Ba6SnP2Cl3, computed with PBE.

Structure (POSCAR):
```
Ba6SnP2Cl3
1.0
-3.730 -0.833 2.532
-3.659 -5.295 -7.130
7.439 -7.073 4.482
Ba Cl Sn P
6 3 1 2
Cartesian
2.021 -6.991 0.678 Ba
-1.970 -6.210 -0.794 Ba
0.797 -11.396 1.576 Ba
-0.408 -3.447 2.415 Ba
-0.746 -1.805 -1.692 Ba
0.459 -9.754 -2.531 Ba
1.112 -6.012 3.811 Cl
-3.694 -3.064 -2.299 Cl
-1.061 -7.189 -3.927 Cl
-1.865 -0.416 1.266 Sn
0.636 -4.373 -0.501 P
-0.586 -8.828 0.384 P
```

Calculated values
The space group is C2/m, No. 12. The total moment comes out at 0.00 μB per formula unit. Its total energy is -4.1494 eV per atom.

---

An optimized crystal structure of Tb3ReO6, computed with PBE.

Structure (POSCAR):
```
Tb3ReO6
1.0
6.538 -0.421 -0.430
-0.563 6.527 -0.430
-0.563 -0.575 6.516
O Re Tb
12 2 6
Cartesian
-0.569 5.704 4.096 O
1.433 6.014 -0.138 O
3.980 -0.483 5.794 O
4.704 2.079 3.152 O
2.410 0.761 3.507 O
5.982 -0.173 1.560 O
-0.303 1.427 6.010 O
1.976 3.046 4.817 O
3.436 2.485 0.839 O
5.715 4.105 -0.354 O
3.002 4.770 2.148 O
0.709 3.453 2.503 O
2.706 2.766 2.828 Re
0.000 0.000 0.000 Re
1.465 3.747 0.346 Tb
1.698 5.220 4.102 Tb
5.182 4.061 1.902 Tb
3.714 0.311 1.554 Tb
3.947 1.785 5.310 Tb
0.231 1.471 3.754 Tb
```

Calculated values
The space group is R-3, No. 148. The total moment comes out at 2.05 μB per formula unit. Its total energy is -8.4526 eV per atom.

---

An optimized crystal structure of Ba2ZnBi2, computed with PBE.

Structure (POSCAR):
```
Ba2ZnBi2
1.0
-1.135 8.706 0.276
-6.737 -1.054 5.536
3.186 0.290 3.932
Bi Zn Ba
4 2 4
Cartesian
-5.193 6.978 3.692 Bi
-2.679 0.674 2.121 Bi
-1.536 5.294 0.853 Bi
-6.336 2.357 4.960 Bi
-3.936 3.826 2.906 Zn
0.000 0.000 0.000 Zn
-3.175 0.978 5.767 Ba
0.030 2.764 3.039 Ba
-1.512 6.964 3.978 Ba
-4.716 5.178 6.706 Ba
```

Calculated values
The space group is P4/mbm, No. 127. For the formation energy, the calculation gives -2.71 eV per formula unit. Its relative energy among the computed polymorphs is 1.01 eV/f.u. The total moment comes out at 0.00 μB per formula unit.

---

An optimized crystal structure of Ta2Co3Rh3, computed with PBE.

Structure (POSCAR):
```
Ta2Co3Rh3
1.0
-2.071 0.239 -3.143
-2.526 -2.420 1.481
-3.814 5.787 2.953
Rh Ta Co
3 2 3
Cartesian
-1.036 0.119 -1.571 Rh
-3.281 0.401 -0.070 Rh
-5.130 3.205 1.362 Rh
-0.982 1.490 0.760 Ta
-2.832 4.297 2.193 Ta
-2.943 3.013 -0.095 Co
-3.170 1.683 2.217 Co
-1.263 -1.210 0.740 Co
```

Calculated values
The space group is Pmmm, No. 47. For the formation energy, the calculation gives -3.19 eV per formula unit. The total moment comes out at 0.00 μB per formula unit.

---

An optimized crystal structure of Pu6RuPt2, computed with PBE.

Structure (POSCAR):
```
Pu6RuPt2
1.0
4.901 0.000 0.000
-2.450 4.388 -0.587
0.000 1.043 8.654
Pu Pt Ru
6 2 1
Cartesian
0.000 0.224 1.607 Pu
0.000 3.909 7.454 Pu
2.450 1.885 3.394 Pu
2.450 5.208 6.460 Pu
0.000 3.546 4.673 Pu
2.450 1.522 0.612 Pu
0.000 3.210 1.727 Pt
2.450 2.222 6.339 Pt
0.000 0.522 4.327 Ru
```

Calculated values
The space group is C2/m, No. 12. For the formation energy, the calculation gives -2.72 eV per formula unit. Its relative energy among the computed polymorphs is 0.00 eV/f.u. The total moment comes out at 10.61 μB per formula unit.

---

An optimized crystal structure of LaPr3Pd8, computed with PBE.

Structure (POSCAR):
```
LaPr3Pd8
1.0
-0.310 3.376 4.414
-4.070 -3.664 -0.991
4.342 -6.185 5.036
Pr Pd La
3 8 1
Cartesian
0.325 -1.660 4.801 Pr
4.071 -5.799 4.722 Pr
-1.288 0.637 2.931 Pr
-0.315 -2.198 1.659 Pd
-0.645 -4.410 3.328 Pd
0.921 -3.102 7.686 Pd
-2.364 -4.043 1.160 Pd
1.524 -7.500 5.844 Pd
1.074 -4.776 5.498 Pd
3.092 -2.959 5.989 Pd
-2.520 -2.343 3.382 Pd
2.452 -3.492 2.844 La
```

Calculated values
The space group is P3m1, No. 156. For the formation energy, the calculation gives -8.76 eV per formula unit. The total moment comes out at 0.00 μB per formula unit.

---

An optimized crystal structure of Y4TmAg5, computed with PBE.

Structure (POSCAR):
```
Y4TmAg5
1.0
3.603 0.000 0.000
0.000 3.603 0.000
0.000 0.000 18.465
Ag Tm Y
5 1 4
Cartesian
1.801 1.801 9.232 Ag
1.801 1.801 12.947 Ag
1.801 1.801 16.695 Ag
1.801 1.801 5.518 Ag
1.801 1.801 1.770 Ag
0.000 0.000 0.000 Tm
0.000 0.000 3.657 Y
0.000 0.000 7.375 Y
0.000 0.000 11.090 Y
0.000 0.000 14.808 Y
```

Calculated values
The space group is P4/mmm, No. 123. For the formation energy, the calculation gives -3.35 eV per formula unit. The total moment comes out at 0.00 μB per formula unit.

---

An optimized crystal structure of Pm5Pr4Ho, computed with PBE.

Structure (POSCAR):
```
Pm5Pr4Ho
1.0
-0.236 -3.806 -4.449
9.972 3.053 -3.142
4.360 -7.699 6.355
Pm Pr Ho
10 8 2
Cartesian
9.028 0.696 -2.338 Pm
4.986 1.527 -1.571 Pm
6.063 -7.240 -0.583 Pm
4.656 -4.757 -2.633 Pm
11.981 -4.519 1.967 Pm
2.273 -1.372 -0.210 Pm
1.944 -7.655 -1.271 Pm
5.226 -6.588 4.095 Pm
7.873 -3.772 -3.646 Pm
9.280 -6.255 -1.596 Pm
4.146 -4.623 0.892 Pr
1.133 -4.668 -0.941 Pr
2.784 -1.506 -3.735 Pr
2.928 -7.839 1.675 Pr
6.889 -0.249 -5.028 Pr
10.012 -2.826 -0.956 Pr
5.796 -1.460 -1.901 Pr
8.361 -5.989 1.837 Pr
-0.151 -2.425 -2.834 Ho
7.080 -3.704 -0.008 Ho
```

Calculated values
The space group is P4/nmm, No. 129. For the formation energy, the calculation gives 1.73 eV per formula unit. Its relative energy among the computed polymorphs is 0.03 eV/f.u. The total moment comes out at 0.00 μB per formula unit.